[1]
DFT (PBE-GGA) results for crystalline K6SeSI2 at its relaxed geometry.

Calculated values
Raw total energy, eV per formula unit: -29.06
D(E_F), states/eV/cell: 0.000
Energy relative to the elements, uncorrected, eV/atom: -1.18

Unit cell a=8.572 b=12.279 c=8.958 alpha=90.00 beta=90.00 gamma=90.00
Element x y z (fractional)
K 0.003 0.250 0.017
K 0.027 0.250 0.566
K 0.250 0.503 0.210
K 0.250 0.997 0.210
K 0.473 0.250 0.566
K 0.497 0.250 0.017
K 0.503 0.750 0.983
K 0.527 0.750 0.434
K 0.750 0.003 0.790
K 0.750 0.497 0.790
K 0.973 0.750 0.434
K 0.997 0.750 0.983
Se 0.250 0.250 0.285
Se 0.750 0.750 0.715
S 0.250 0.750 0.226
S 0.750 0.250 0.774
I 0.250 0.043 0.808
I 0.250 0.457 0.808
I 0.750 0.543 0.192
I 0.750 0.957 0.192

=====

[2]
DFT (PBE-GGA) results for crystalline K3Sr2S2I3 at its relaxed geometry.

Calculated values
Raw total energy, eV per formula unit: -35.48
D(E_F), states/eV/cell: 0.000
Energy relative to the elements, uncorrected, eV/atom: -1.59

Unit cell a=15.282 b=15.282 c=15.282 alpha=159.40 beta=159.40 gamma=29.30
Element x y z (fractional)
K 0.000 0.000 0.000
K 0.384 0.384 0.000
K 0.616 0.616 0.000
Sr 0.250 0.750 0.500
Sr 0.750 0.250 0.500
S 0.281 0.281 0.000
S 0.719 0.719 0.000
I 0.124 0.124 0.000
I 0.500 0.500 0.000
I 0.876 0.876 0.000

=====

[3]
DFT (PBE-GGA) results for crystalline KTeS2I at its relaxed geometry.

Calculated values
Raw total energy, eV per formula unit: -15.44
D(E_F), states/eV/cell: 1.796
Energy relative to the elements, uncorrected, eV/atom: -0.28

Unit cell a=5.178 b=5.178 c=6.218 alpha=90.00 beta=90.00 gamma=90.00
Element x y z (fractional)
K 0.000 0.000 0.000
Te 0.500 0.500 0.500
S 0.000 0.500 0.500
S 0.500 0.000 0.500
I 0.500 0.500 0.000

=====

[4]
DFT (PBE-GGA) results for crystalline K2US2I4 at its relaxed geometry.

Calculated values
Raw total energy, eV per formula unit: -37.49
Energy relative to the elements, uncorrected, eV/atom: -1.06

Unit cell a=7.788 b=7.788 c=6.732 alpha=101.41 beta=101.41 gamma=64.47
Element x y z (fractional)
K 0.171 0.171 0.274
K 0.829 0.829 0.726
U 0.500 0.500 0.000
S 0.353 0.353 0.722
S 0.647 0.647 0.278
I 0.143 0.659 0.205
I 0.341 0.857 0.795
I 0.659 0.143 0.205
I 0.857 0.341 0.795

=====

Please write out number 1 again, unchanged.
DFT (PBE-GGA) results for crystalline K6SeSI2 at its relaxed geometry.

Calculated values
Raw total energy, eV per formula unit: -29.06
D(E_F), states/eV/cell: 0.000
Energy relative to the elements, uncorrected, eV/atom: -1.18

Unit cell a=8.572 b=12.279 c=8.958 alpha=90.00 beta=90.00 gamma=90.00
Element x y z (fractional)
K 0.003 0.250 0.017
K 0.027 0.250 0.566
K 0.250 0.503 0.210
K 0.250 0.997 0.210
K 0.473 0.250 0.566
K 0.497 0.250 0.017
K 0.503 0.750 0.983
K 0.527 0.750 0.434
K 0.750 0.003 0.790
K 0.750 0.497 0.790
K 0.973 0.750 0.434
K 0.997 0.750 0.983
Se 0.250 0.250 0.285
Se 0.750 0.750 0.715
S 0.250 0.750 0.226
S 0.750 0.250 0.774
I 0.250 0.043 0.808
I 0.250 0.457 0.808
I 0.750 0.543 0.192
I 0.750 0.957 0.192